DFT (PBE) results for IrIN3 after structural relaxation.

Cell lengths 3.9502, 3.9502, 3.9502 Å; angles 90.00, 90.00, 90.00 degrees
Last column: nearest neighbours and their distance in Å.
Atoms (fractional coordinates):
I: 0.5000 0.5000 0.5000  12 N 2.79
Ir: 0.0000 0.0000 0.0000  6 N 1.98
N: 0.0000 0.5000 0.0000  2 Ir 1.98
N: 0.0000 0.0000 0.5000  2 Ir 1.98
N: 0.5000 0.0000 0.0000  2 Ir 1.98

Computed properties:
- Space-group type: Pm-3m, No. 221
- Uncorrected formation energy: 1.597 eV per atom